Record 1
CaTbPrGd | PBE | optimized geometry

Calculated values
ΔE_f in meV/atom: 129.6
Magnetization in Bohr magnetons per cell: 31.3

Unit cell a=8.237 b=8.237 c=8.237 alpha=90.00 beta=90.00 gamma=90.00
Fractional coordinates of all 16 atoms:
Ca1 0.000 0.000 0.000
Ca2 0.000 0.500 0.500
Ca3 0.500 0.000 0.500
Ca4 0.500 0.500 0.000
Tb1 0.250 0.250 0.750
Tb2 0.250 0.750 0.250
Tb3 0.750 0.250 0.250
Tb4 0.750 0.750 0.750
Pr1 0.250 0.250 0.250
Pr2 0.250 0.750 0.750
Pr3 0.750 0.250 0.750
Pr4 0.750 0.750 0.250
Gd1 0.000 0.000 0.500
Gd2 0.000 0.500 0.000
Gd3 0.500 0.000 0.000
Gd4 0.500 0.500 0.500


Record 2
LiAl2W | PBE | optimized geometry

Calculated values
ΔE_f in meV/atom: -84.6
Magnetization in Bohr magnetons per cell: 0.0
Excess energy over the best structure of this formula in the dataset in meV per atom: 0

Unit cell a=6.026 b=7.082 c=2.830 alpha=90.00 beta=90.28 gamma=90.00
Fractional coordinates of all 8 atoms:
Li1 0.000 0.000 0.000
Li2 0.500 0.500 0.000
Al1 0.250 0.250 0.500
Al2 0.250 0.750 0.500
Al3 0.750 0.250 0.500
Al4 0.750 0.750 0.500
W1 0.000 0.500 0.000
W2 0.500 0.000 0.000


Record 3
Pm2SmDy | PBE | optimized geometry

Calculated values
ΔE_f in meV/atom: 17.0
Magnetization in Bohr magnetons per cell: 0.0
Excess energy over the best structure of this formula in the dataset in meV per atom: 4

Unit cell a=5.116 b=5.116 c=5.109 alpha=90.00 beta=90.00 gamma=90.00
Fractional coordinates of all 4 atoms:
Pm1 0.000 0.500 0.000
Pm2 0.500 0.000 0.000
Sm1 0.000 0.000 0.500
Dy1 0.500 0.500 0.500


Record 4
PrSmDyLu | PBE | optimized geometry

Calculated values
ΔE_f in meV/atom: 122.4
Magnetization in Bohr magnetons per cell: 0.2

Unit cell a=8.076 b=8.076 c=8.076 alpha=90.00 beta=90.00 gamma=90.00
Fractional coordinates of all 16 atoms:
Pr1 0.000 0.000 0.000
Pr2 0.000 0.500 0.500
Pr3 0.500 0.000 0.500
Pr4 0.500 0.500 0.000
Sm1 0.000 0.000 0.500
Sm2 0.000 0.500 0.000
Sm3 0.500 0.000 0.000
Sm4 0.500 0.500 0.500
Dy1 0.250 0.250 0.750
Dy2 0.250 0.750 0.250
Dy3 0.750 0.250 0.250
Dy4 0.750 0.750 0.750
Lu1 0.250 0.250 0.250
Lu2 0.250 0.750 0.750
Lu3 0.750 0.250 0.750
Lu4 0.750 0.750 0.250


Record 5
K3Na3CaI8 | PBE | optimized geometry

Calculated values
Formation energy (no corrections) in meV/atom: -1419
Magnetization in Bohr magnetons per cell: 0.0

Unit cell a=9.450 b=9.450 c=9.848 alpha=118.73 beta=118.73 gamma=59.96
Fractional coordinates of all 15 atoms:
K1 0.000 0.000 0.000
K2 0.000 0.500 0.000
K3 0.500 0.000 0.000
Na1 0.000 0.500 0.500
Na2 0.500 0.000 0.500
Na3 0.500 0.500 0.500
Ca1 0.000 0.000 0.500
I1 0.233 0.233 0.717
I2 0.233 0.751 0.717
I3 0.249 0.767 0.283
I4 0.258 0.258 0.276
I5 0.742 0.742 0.724
I6 0.751 0.233 0.717
I7 0.767 0.249 0.283
I8 0.767 0.767 0.283


Record 6
Na5B7C3 | PBE | optimized geometry

Calculated values
ΔE_f in meV/atom: 131.5
Magnetization in Bohr magnetons per cell: 0.0
Excess energy over the best structure of this formula in the dataset in meV per atom: 19

Unit cell a=8.556 b=12.912 c=12.912 alpha=12.61 beta=90.00 gamma=90.00
Fractional coordinates of all 30 atoms:
Na1 0.243 0.000 0.000
Na2 0.248 0.199 0.199
Na3 0.248 0.398 0.398
Na4 0.248 0.798 0.798
Na5 0.251 0.600 0.600
Na6 0.749 0.600 0.600
Na7 0.752 0.199 0.199
Na8 0.752 0.398 0.398
Na9 0.752 0.798 0.798
Na10 0.757 0.000 0.000
B1 0.000 0.136 0.136
B2 0.000 0.330 0.330
B3 0.000 0.466 0.466
B4 0.000 0.539 0.539
B5 0.000 0.733 0.733
B6 0.000 0.925 0.925
B7 0.500 0.064 0.064
B8 0.500 0.131 0.131
B9 0.500 0.261 0.261
B10 0.500 0.328 0.328
B11 0.500 0.474 0.474
B12 0.500 0.669 0.669
B13 0.500 0.868 0.868
B14 0.500 0.933 0.933
C1 0.000 0.071 0.071
C2 0.000 0.265 0.265
C3 0.000 0.668 0.668
C4 0.000 0.862 0.862
C5 0.500 0.534 0.534
C6 0.500 0.731 0.731


Record 7
Cr2GeWN | PBE | optimized geometry

Calculated values
Formation energy (no corrections) in meV/atom: -57
Magnetization in Bohr magnetons per cell: 0.7
Excess energy over the best structure of this formula in the dataset in meV per atom: 0

Unit cell a=3.879 b=3.879 c=4.060 alpha=90.00 beta=90.00 gamma=90.00
Fractional coordinates of all 5 atoms:
Cr1 0.000 0.500 0.000
Cr2 0.500 0.000 0.000
Ge1 0.000 0.000 0.500
W1 0.500 0.500 0.500
N1 0.500 0.500 0.000


Record 8
PmErSiRh | PBE | optimized geometry

Calculated values
Formation energy (no corrections) in meV/atom: -815
Magnetization in Bohr magnetons per cell: 0.0
Excess energy over the best structure of this formula in the dataset in meV per atom: 0

Unit cell a=4.059 b=4.200 c=10.536 alpha=90.00 beta=90.00 gamma=90.00
Fractional coordinates of all 8 atoms:
Pm1 0.000 0.000 0.000
Pm2 0.000 0.500 0.500
Er1 0.500 0.000 0.282
Er2 0.500 0.500 0.782
Si1 0.500 0.000 0.580
Si2 0.500 0.500 0.080
Rh1 0.000 0.000 0.721
Rh2 0.000 0.500 0.221


Record 9
LaEuInHg | PBE | optimized geometry

Calculated values
ΔE_f in meV/atom: -507.9
Magnetization in Bohr magnetons per cell: 29.3

Unit cell a=7.874 b=7.874 c=7.874 alpha=90.00 beta=90.00 gamma=90.00
Fractional coordinates of all 16 atoms:
La1 0.000 0.000 0.000
La2 0.000 0.500 0.500
La3 0.500 0.000 0.500
La4 0.500 0.500 0.000
Eu1 0.000 0.000 0.500
Eu2 0.000 0.500 0.000
Eu3 0.500 0.000 0.000
Eu4 0.500 0.500 0.500
In1 0.250 0.250 0.250
In2 0.250 0.750 0.750
In3 0.750 0.250 0.750
In4 0.750 0.750 0.250
Hg1 0.250 0.250 0.750
Hg2 0.250 0.750 0.250
Hg3 0.750 0.250 0.250
Hg4 0.750 0.750 0.750


Record 10
La2HoTmS4 | PBE | optimized geometry

Calculated values
Formation energy (no corrections) in meV/atom: -2069
Magnetization in Bohr magnetons per cell: 0.0

Unit cell a=6.862 b=3.938 c=7.113 alpha=90.00 beta=108.59 gamma=90.00
Fractional coordinates of all 8 atoms:
La1 0.000 0.000 0.000
La2 0.500 0.500 0.000
Ho1 0.000 0.500 0.500
Tm1 0.500 0.000 0.500
S1 0.244 0.000 0.726
S2 0.261 0.500 0.276
S3 0.739 0.500 0.724
S4 0.756 0.000 0.274


Record 11
NaTcPt | PBE | optimized geometry

Calculated values
ΔE_f in meV/atom: 84.8
Magnetization in Bohr magnetons per cell: 0.0
Excess energy over the best structure of this formula in the dataset in meV per atom: 38

Unit cell a=2.727 b=9.755 c=8.018 alpha=90.00 beta=90.00 gamma=90.00
Fractional coordinates of all 12 atoms:
Na1 0.000 0.000 0.000
Na2 0.000 0.500 0.500
Na3 0.500 0.000 0.326
Na4 0.500 0.500 0.826
Tc1 0.500 0.118 0.672
Tc2 0.500 0.382 0.172
Tc3 0.500 0.618 0.172
Tc4 0.500 0.882 0.672
Pt1 0.000 0.240 0.416
Pt2 0.000 0.260 0.916
Pt3 0.000 0.740 0.916
Pt4 0.000 0.760 0.416


Record 12
PuZnInGe | PBE | optimized geometry

Calculated values
ΔE_f in meV/atom: -241.3
Magnetization in Bohr magnetons per cell: 5.4
Excess energy over the best structure of this formula in the dataset in meV per atom: 0

Unit cell a=4.147 b=4.346 c=4.738 alpha=90.00 beta=90.00 gamma=90.00
Fractional coordinates of all 4 atoms:
Pu1 0.000 0.000 0.000
Zn1 0.500 0.000 0.500
In1 0.000 0.500 0.500
Ge1 0.500 0.500 0.000


Record 13
Dy2Cd2Ag | PBE | optimized geometry

Calculated values
ΔE_f in meV/atom: -179.4
Magnetization in Bohr magnetons per cell: 0.0
Excess energy over the best structure of this formula in the dataset in meV per atom: 26

Unit cell a=8.169 b=8.169 c=8.169 alpha=133.99 beta=62.84 gamma=139.65
Fractional coordinates of all 10 atoms:
Dy1 0.176 0.182 0.358
Dy2 0.324 0.682 0.006
Dy3 0.676 0.318 0.994
Dy4 0.824 0.818 0.642
Cd1 0.090 0.646 0.736
Cd2 0.410 0.146 0.556
Cd3 0.590 0.854 0.444
Cd4 0.910 0.354 0.264
Ag1 0.250 0.250 0.000
Ag2 0.750 0.750 0.000


Record 14
TaAgSe2 | PBE | optimized geometry

Calculated values
Formation energy (no corrections) in meV/atom: 568
Magnetization in Bohr magnetons per cell: 0.0

Unit cell a=6.717 b=6.717 c=6.717 alpha=90.00 beta=90.00 gamma=90.00
Fractional coordinates of all 16 atoms:
Ta1 0.000 0.000 0.000
Ta2 0.000 0.500 0.500
Ta3 0.500 0.000 0.500
Ta4 0.500 0.500 0.000
Ag1 0.250 0.250 0.750
Ag2 0.250 0.750 0.250
Ag3 0.750 0.250 0.250
Ag4 0.750 0.750 0.750
Se1 0.000 0.000 0.500
Se2 0.000 0.500 0.000
Se3 0.250 0.250 0.250
Se4 0.250 0.750 0.750
Se5 0.500 0.000 0.000
Se6 0.500 0.500 0.500
Se7 0.750 0.250 0.750
Se8 0.750 0.750 0.250


Record 15
NbCSN2 | PBE | optimized geometry

Calculated values
Formation energy (no corrections) in meV/atom: 1705
Magnetization in Bohr magnetons per cell: 1.5
Excess energy over the best structure of this formula in the dataset in meV per atom: 172

Unit cell a=3.922 b=3.922 c=5.295 alpha=90.00 beta=90.00 gamma=90.00
Fractional coordinates of all 5 atoms:
Nb1 0.000 0.000 0.000
C1 0.500 0.500 0.500
S1 0.000 0.000 0.500
N1 0.000 0.500 0.000
N2 0.500 0.000 0.000


Record 16
SbPAu | PBE | optimized geometry

Calculated values
Formation energy (no corrections) in meV/atom: 78
Magnetization in Bohr magnetons per cell: 0.0
Excess energy over the best structure of this formula in the dataset in meV per atom: 0

Unit cell a=3.866 b=3.866 c=4.836 alpha=90.00 beta=90.00 gamma=120.00
Fractional coordinates of all 3 atoms:
Sb1 0.000 0.000 0.000
P1 0.333 0.667 0.658
Au1 0.667 0.333 0.370


Record 17
Ac5YBi6 | PBE | optimized geometry

Calculated values
ΔE_f in meV/atom: -968.6
Magnetization in Bohr magnetons per cell: 0.0

Unit cell a=8.348 b=8.348 c=8.351 alpha=99.63 beta=99.63 gamma=120.01
Fractional coordinates of all 12 atoms:
Ac1 0.000 0.000 0.000
Ac2 0.165 0.835 0.500
Ac3 0.330 0.670 0.000
Ac4 0.670 0.330 0.000
Ac5 0.835 0.165 0.500
Y1 0.500 0.500 0.500
Bi1 0.099 0.420 0.259
Bi2 0.261 0.261 0.745
Bi3 0.420 0.099 0.259
Bi4 0.580 0.901 0.741
Bi5 0.739 0.739 0.255
Bi6 0.901 0.580 0.741


Record 18
SiSn2Pd6 | PBE | optimized geometry

Calculated values
Formation energy (no corrections) in meV/atom: -614
Magnetization in Bohr magnetons per cell: 0.0

Unit cell a=7.048 b=7.048 c=3.446 alpha=90.00 beta=90.00 gamma=120.00
Fractional coordinates of all 9 atoms:
Si1 0.000 0.000 0.000
Sn1 0.333 0.667 0.500
Sn2 0.667 0.333 0.500
Pd1 0.000 0.247 0.500
Pd2 0.000 0.620 0.000
Pd3 0.247 0.000 0.500
Pd4 0.380 0.380 0.000
Pd5 0.620 0.000 0.000
Pd6 0.753 0.753 0.500


Record 19
Te2SeO | PBE | optimized geometry

Calculated values
Formation energy (no corrections) in meV/atom: 232
Magnetization in Bohr magnetons per cell: 0.0
Excess energy over the best structure of this formula in the dataset in meV per atom: 218

Unit cell a=3.240 b=3.240 c=27.545 alpha=90.00 beta=90.00 gamma=120.00
Fractional coordinates of all 12 atoms:
Te1 0.000 0.000 0.101
Te2 0.000 0.000 0.899
Te3 0.333 0.667 0.565
Te4 0.333 0.667 0.768
Te5 0.667 0.333 0.232
Te6 0.667 0.333 0.435
Se1 0.000 0.000 0.000
Se2 0.333 0.667 0.667
Se3 0.667 0.333 0.333
O1 0.000 0.000 0.500
O2 0.333 0.667 0.167
O3 0.667 0.333 0.833


Record 20
SrHoInBr6 | PBE | optimized geometry

Calculated values
Formation energy (no corrections) in meV/atom: -1693
Magnetization in Bohr magnetons per cell: 0.0

Unit cell a=7.663 b=7.663 c=14.055 alpha=90.00 beta=90.00 gamma=120.00
Fractional coordinates of all 18 atoms:
Sr1 0.333 0.667 0.250
Sr2 0.667 0.333 0.750
Ho1 0.333 0.667 0.750
Ho2 0.667 0.333 0.250
In1 0.000 0.000 0.000
In2 0.000 0.000 0.500
Br1 0.026 0.377 0.634
Br2 0.026 0.649 0.866
Br3 0.351 0.377 0.866
Br4 0.351 0.974 0.634
Br5 0.377 0.026 0.134
Br6 0.377 0.351 0.366
Br7 0.623 0.649 0.634
Br8 0.623 0.974 0.866
Br9 0.649 0.026 0.366
Br10 0.649 0.623 0.134
Br11 0.974 0.351 0.134
Br12 0.974 0.623 0.366


Record 21
La2DyH | PBE | optimized geometry

Calculated values
Magnetization in Bohr magnetons per cell: 0.2
Excess energy over the best structure of this formula in the dataset in meV per atom: 0

Unit cell a=3.707 b=3.707 c=26.797 alpha=90.00 beta=90.00 gamma=120.00
Fractional coordinates of all 12 atoms:
La1 0.000 0.000 0.000
La2 0.000 0.000 0.220
La3 0.333 0.667 0.667
La4 0.333 0.667 0.887
La5 0.667 0.333 0.333
La6 0.667 0.333 0.554
Dy1 0.000 0.000 0.445
Dy2 0.333 0.667 0.111
Dy3 0.667 0.333 0.778
H1 0.000 0.000 0.611
H2 0.333 0.667 0.278
H3 0.667 0.333 0.945


Record 22
Ac2ThAs2Se2 | PBE | optimized geometry

Calculated values
Formation energy (no corrections) in meV/atom: -1356
Magnetization in Bohr magnetons per cell: 0.0

Unit cell a=5.603 b=5.603 c=15.572 alpha=90.00 beta=90.00 gamma=90.00
Fractional coordinates of all 14 atoms:
Ac1 0.000 0.000 0.124
Ac2 0.000 0.000 0.876
Ac3 0.500 0.500 0.376
Ac4 0.500 0.500 0.624
Th1 0.000 0.000 0.500
Th2 0.500 0.500 0.000
As1 0.000 0.500 0.000
As2 0.000 0.500 0.500
As3 0.500 0.000 0.000
As4 0.500 0.000 0.500
Se1 0.000 0.000 0.313
Se2 0.000 0.000 0.687
Se3 0.500 0.500 0.187
Se4 0.500 0.500 0.813


Record 23
PaIn2Se6 | PBE | optimized geometry

Calculated values
Formation energy (no corrections) in meV/atom: -661
Magnetization in Bohr magnetons per cell: 2.1

Unit cell a=8.942 b=8.942 c=7.468 alpha=99.77 beta=99.77 gamma=86.99
Fractional coordinates of all 18 atoms:
Pa1 0.096 0.904 0.750
Pa2 0.904 0.096 0.250
In1 0.240 0.403 0.689
In2 0.403 0.240 0.189
In3 0.597 0.760 0.811
In4 0.760 0.597 0.311
Se1 0.031 0.190 0.625
Se2 0.074 0.625 0.832
Se3 0.190 0.031 0.125
Se4 0.330 0.486 0.404
Se5 0.375 0.926 0.668
Se6 0.486 0.330 0.904
Se7 0.514 0.670 0.096
Se8 0.625 0.074 0.332
Se9 0.670 0.514 0.596
Se10 0.810 0.969 0.875
Se11 0.926 0.375 0.168
Se12 0.969 0.810 0.375


Record 24
LiAlHPd4 | PBE | optimized geometry

Calculated values
Energy in eV for the cell shown: -65.5
Magnetization in Bohr magnetons per cell: 0.0

Unit cell a=7.001 b=7.001 c=5.396 alpha=90.00 beta=90.00 gamma=134.61
Fractional coordinates of all 14 atoms:
Li1 0.110 0.890 0.750
Li2 0.890 0.110 0.250
Al1 0.388 0.612 0.750
Al2 0.612 0.388 0.250
H1 0.238 0.762 0.250
H2 0.762 0.238 0.750
Pd1 0.000 0.500 0.000
Pd2 0.000 0.500 0.500
Pd3 0.080 0.920 0.250
Pd4 0.426 0.574 0.250
Pd5 0.500 0.000 0.000
Pd6 0.500 0.000 0.500
Pd7 0.574 0.426 0.750
Pd8 0.920 0.080 0.750